1.
# Pu3Sn2Rh3 (PBE, optimized geometry)
data_Pu3Sn2Rh3
_symmetry_space_group_name_H-M 'P 63/m c m'
_symmetry_Int_Tables_number 193
_symmetry_space_group_name_Hall '-P 6c 2'
_cell_length_a 8.0992
_cell_length_b 8.0992
_cell_length_c 5.9747
_cell_angle_alpha 90.00
_cell_angle_beta 90.00
_cell_angle_gamma 120.00
loop_
_atom_site_label
_atom_site_type_symbol
_atom_site_fract_x
_atom_site_fract_y
_atom_site_fract_z
Pu1 Pu 0.0000 0.2592 0.2500
Sn1 Sn 0.3333 0.6667 0.0000
Rh1 Rh 0.0000 0.4012 0.7500
# D(E_F)   42.338 states/eV/cell
# Uncorrected energy   -9.6013 eV/atom

2.
# Na6Tl2InPb (PBE, optimized geometry)
data_Na6Tl2InPb
_symmetry_space_group_name_H-M 'C 1 2/c 1'
_symmetry_Int_Tables_number 15
_cell_length_a 10.042
_cell_length_b 14.605
_cell_length_c 9.468
_cell_angle_alpha 90.00
_cell_angle_beta 120.49
_cell_angle_gamma 90.00
loop_
_symmetry_equiv_pos_as_xyz
'x,y,z'
'-x,-y,-z'
'-x,y,-z+1/2'
'x,-y,z+1/2'
'x+1/2,y+1/2,z'
'-x+1/2,-y+1/2,-z'
'-x+1/2,y+1/2,-z+1/2'
'x+1/2,-y+1/2,z+1/2'
loop_
_atom_site_label
_atom_site_type_symbol
_atom_site_fract_x
_atom_site_fract_y
_atom_site_fract_z
Na1 Na 0.065 0.102 0.447
Na2 Na 0.130 0.329 0.963
Na3 Na 0.187 0.491 0.697
Tl1 Tl 0.226 0.276 0.676
In1 In 0.000 0.347 0.250
Pb1 Pb 0.000 0.118 0.750
# D(E_F)   20.509 states/eV/cell
# Uncorrected energy   -1.9911 eV/atom

3.
# Tb3Nd4TmS8 (PBE, optimized geometry)
data_Tb3Nd4TmS8
_symmetry_space_group_name_H-M 'R -3 m'
_symmetry_Int_Tables_number 166
_symmetry_space_group_name_Hall '-R 3 2"'
_cell_length_a 7.9202
_cell_length_b 7.9202
_cell_length_c 19.8460
_cell_angle_alpha 90.00
_cell_angle_beta 90.00
_cell_angle_gamma 120.00
loop_
_atom_site_label
_atom_site_type_symbol
_atom_site_fract_x
_atom_site_fract_y
_atom_site_fract_z
Tb1 Tb 0.0000 0.5000 0.0000
Nd1 Nd 0.0000 0.0000 0.5000
Nd2 Nd 0.0000 0.5000 0.5000
Tm1 Tm 0.0000 0.0000 0.0000
S1 S 0.0000 0.0000 0.2548
S2 S 0.0043 0.5021 0.7442
# D(E_F)   22.357 states/eV/cell
# Uncorrected energy   -6.4126 eV/atom

4.
# NiMo2W (PBE, optimized geometry)
data_NiMo2W
_symmetry_space_group_name_H-M 'P m m m'
_symmetry_Int_Tables_number 47
_cell_length_a 2.615
_cell_length_b 4.086
_cell_length_c 5.608
_cell_angle_alpha 90.00
_cell_angle_beta 90.00
_cell_angle_gamma 90.00
loop_
_symmetry_equiv_pos_as_xyz
'x,y,z'
'-x,-y,-z'
'-x,-y,z'
'x,y,-z'
'x,-y,-z'
'-x,y,z'
'-x,y,-z'
'x,-y,z'
loop_
_atom_site_label
_atom_site_type_symbol
_atom_site_fract_x
_atom_site_fract_y
_atom_site_fract_z
Ni1 Ni 0.000 0.000 0.000
Mo1 Mo 0.500 0.500 0.236
W1 W 0.000 0.000 0.500
# Polymorph energy (0 for the lowest one)   171 meV per atom
# D(E_F)   3.860 states/eV/cell
# Uncorrected energy   -9.8799 eV/atom

5.
# Er2TmZr3N6 (PBE, optimized geometry)
data_Er2TmZr3N6
_symmetry_space_group_name_H-M 'C 1 2/m 1'
_symmetry_Int_Tables_number 12
_cell_length_a 5.756
_cell_length_b 9.951
_cell_length_c 5.796
_cell_angle_alpha 90.00
_cell_angle_beta 109.38
_cell_angle_gamma 90.00
loop_
_symmetry_equiv_pos_as_xyz
'x,y,z'
'-x,-y,-z'
'-x,y,-z'
'x,-y,z'
'x+1/2,y+1/2,z'
'-x+1/2,-y+1/2,-z'
'-x+1/2,y+1/2,-z'
'x+1/2,-y+1/2,z'
loop_
_atom_site_label
_atom_site_type_symbol
_atom_site_fract_x
_atom_site_fract_y
_atom_site_fract_z
Er1 Er 0.000 0.167 0.000
Tm1 Tm 0.000 0.500 0.000
Zr1 Zr 0.000 0.000 0.500
Zr2 Zr 0.000 0.334 0.500
N1 N 0.245 0.500 0.738
N2 N 0.247 0.166 0.738
# D(E_F)   6.571 states/eV/cell
# Uncorrected energy   -9.2063 eV/atom

6.
# LiNbTeI2 (PBE, optimized geometry)
data_LiNbTeI2
_symmetry_space_group_name_H-M 'P 4/m m m'
_symmetry_Int_Tables_number 123
_symmetry_space_group_name_Hall '-P 4 2'
_cell_length_a 5.193
_cell_length_b 5.193
_cell_length_c 5.308
_cell_angle_alpha 90.00
_cell_angle_beta 90.00
_cell_angle_gamma 90.00
loop_
_atom_site_label
_atom_site_type_symbol
_atom_site_fract_x
_atom_site_fract_y
_atom_site_fract_z
Li1 Li 0.000 0.000 0.000
Nb1 Nb 0.500 0.500 0.500
Te1 Te 0.000 0.000 0.500
I1 I 0.000 0.500 0.000
# Polymorph energy (0 for the lowest one)   639 meV per atom
# D(E_F)   4.921 states/eV/cell
# Uncorrected energy   -3.1621 eV/atom

7.
# ScMnCo3 (PBE, optimized geometry)
data_ScMnCo3
_symmetry_space_group_name_H-M 'P m -3 m'
_symmetry_Int_Tables_number 221
_symmetry_space_group_name_Hall '-P 4 2 3'
_cell_length_a 4.187
_cell_length_b 4.187
_cell_length_c 4.187
_cell_angle_alpha 90.00
_cell_angle_beta 90.00
_cell_angle_gamma 90.00
loop_
_atom_site_label
_atom_site_type_symbol
_atom_site_fract_x
_atom_site_fract_y
_atom_site_fract_z
Sc1 Sc 0.000 0.000 0.000
Mn1 Mn 0.500 0.500 0.500
Co1 Co 0.000 0.500 0.500
# Polymorph energy (0 for the lowest one)   0 meV per atom
# D(E_F)   7.105 states/eV/cell
# Uncorrected energy   -6.7885 eV/atom

8.
# Ga2SbRu (PBE, optimized geometry)
data_Ga2SbRu
_symmetry_space_group_name_H-M 'I -4 2 d'
_symmetry_Int_Tables_number 122
_symmetry_space_group_name_Hall 'I -4 2bw'
_cell_length_a 6.274
_cell_length_b 6.274
_cell_length_c 10.237
_cell_angle_alpha 90.00
_cell_angle_beta 90.00
_cell_angle_gamma 90.00
loop_
_atom_site_label
_atom_site_type_symbol
_atom_site_fract_x
_atom_site_fract_y
_atom_site_fract_z
Ga1 Ga 0.208 0.250 0.125
Sb1 Sb 0.000 0.000 0.500
Ru1 Ru 0.000 0.000 0.000
# D(E_F)   11.408 states/eV/cell
# Uncorrected energy   -4.3573 eV/atom

9.
# Co3Cu3Se8 (PBE, optimized geometry)
data_Co3Cu3Se8
_symmetry_space_group_name_H-M 'R -3 m'
_symmetry_Int_Tables_number 166
_symmetry_space_group_name_Hall '-R 3 2"'
_cell_length_a 7.0937
_cell_length_b 7.0937
_cell_length_c 17.7960
_cell_angle_alpha 90.00
_cell_angle_beta 90.00
_cell_angle_gamma 120.00
loop_
_atom_site_label
_atom_site_type_symbol
_atom_site_fract_x
_atom_site_fract_y
_atom_site_fract_z
Co1 Co 0.0000 0.5000 0.0000
Cu1 Cu 0.0000 0.0000 0.1262
Cu2 Cu 0.0000 0.0000 0.5000
Se1 Se 0.0000 0.0000 0.2630
Se2 Se 0.0277 0.5139 0.2582
# D(E_F)   25.340 states/eV/cell
# Uncorrected energy   -4.6319 eV/atom

10.
# TbCe2Nd (PBE, optimized geometry)
data_TbCe2Nd
_symmetry_space_group_name_H-M 'R 3 m'
_symmetry_Int_Tables_number 160
_symmetry_space_group_name_Hall 'R 3 -2"'
_cell_length_a 3.5254
_cell_length_b 3.5254
_cell_length_c 34.9184
_cell_angle_alpha 90.00
_cell_angle_beta 90.00
_cell_angle_gamma 120.00
loop_
_atom_site_label
_atom_site_type_symbol
_atom_site_fract_x
_atom_site_fract_y
_atom_site_fract_z
Tb1 Tb 0.0000 0.0000 0.0000
Ce1 Ce 0.0000 0.0000 0.2509
Ce2 Ce 0.0000 0.0000 0.4145
Nd1 Nd 0.0000 0.0000 0.8310
# Polymorph energy (0 for the lowest one)   1 meV per atom
# D(E_F)   31.481 states/eV/cell
# Uncorrected energy   -5.2103 eV/atom

11.
# Ce2Sc2Sb2P (PBE, optimized geometry)
data_Ce2Sc2Sb2P
_symmetry_space_group_name_H-M 'I 4/m m m'
_symmetry_Int_Tables_number 139
_symmetry_space_group_name_Hall '-I 4 2'
_cell_length_a 4.814
_cell_length_b 4.814
_cell_length_c 16.279
_cell_angle_alpha 90.00
_cell_angle_beta 90.00
_cell_angle_gamma 90.00
loop_
_atom_site_label
_atom_site_type_symbol
_atom_site_fract_x
_atom_site_fract_y
_atom_site_fract_z
Ce1 Ce 0.000 0.000 0.170
Sc1 Sc 0.000 0.500 0.000
Sb1 Sb 0.000 0.000 0.370
P1 P 0.000 0.000 0.000
# D(E_F)   34.196 states/eV/cell
# Uncorrected energy   -6.4390 eV/atom

12.
# ZnTc3N (PBE, optimized geometry)
data_ZnTc3N
_symmetry_space_group_name_H-M 'P 63/m m c'
_symmetry_Int_Tables_number 194
_symmetry_space_group_name_Hall '-P 6c 2c'
_cell_length_a 4.3056
_cell_length_b 4.3056
_cell_length_c 8.0219
_cell_angle_alpha 90.00
_cell_angle_beta 90.00
_cell_angle_gamma 120.00
loop_
_atom_site_label
_atom_site_type_symbol
_atom_site_fract_x
_atom_site_fract_y
_atom_site_fract_z
Zn1 Zn 0.3333 0.6667 0.2500
Tc1 Tc 0.0000 0.0000 0.2500
Tc2 Tc 0.3333 0.6667 0.5867
N1 N 0.0000 0.0000 0.0000
# Polymorph energy (0 for the lowest one)   542 meV per atom
# D(E_F)   10.290 states/eV/cell
# Uncorrected energy   -7.5740 eV/atom

13.
# ErSi2Rh3 (PBE, optimized geometry)
data_ErSi2Rh3
_symmetry_space_group_name_H-M 'I m m a'
_symmetry_Int_Tables_number 74
_symmetry_space_group_name_Hall '-I 2b 2'
_cell_length_a 7.180
_cell_length_b 9.599
_cell_length_c 5.542
_cell_angle_alpha 90.00
_cell_angle_beta 90.00
_cell_angle_gamma 90.00
loop_
_atom_site_label
_atom_site_type_symbol
_atom_site_fract_x
_atom_site_fract_y
_atom_site_fract_z
Er1 Er 0.000 0.250 0.204
Si1 Si 0.000 0.079 0.693
Rh1 Rh 0.214 0.000 0.000
Rh2 Rh 0.250 0.250 0.750
# D(E_F)   4.684 states/eV/cell
# Uncorrected energy   -7.3103 eV/atom

14.
# Ce3Sn4Pt3 (PBE, optimized geometry)
data_Ce3Sn4Pt3
_symmetry_space_group_name_H-M 'I -4 3 d'
_symmetry_Int_Tables_number 220
_symmetry_space_group_name_Hall 'I -4bd 2c 3'
_cell_length_a 9.899
_cell_length_b 9.899
_cell_length_c 9.899
_cell_angle_alpha 90.00
_cell_angle_beta 90.00
_cell_angle_gamma 90.00
loop_
_atom_site_label
_atom_site_type_symbol
_atom_site_fract_x
_atom_site_fract_y
_atom_site_fract_z
Ce1 Ce 0.000 0.250 0.875
Sn1 Sn 0.085 0.415 0.585
Pt1 Pt 0.000 0.250 0.375
# D(E_F)   66.417 states/eV/cell
# Uncorrected energy   -6.0800 eV/atom

15.
# GePdAu3 (PBE, optimized geometry)
data_GePdAu3
_symmetry_space_group_name_H-M 'P m -3 m'
_symmetry_Int_Tables_number 221
_symmetry_space_group_name_Hall '-P 4 2 3'
_cell_length_a 4.816
_cell_length_b 4.816
_cell_length_c 4.816
_cell_angle_alpha 90.00
_cell_angle_beta 90.00
_cell_angle_gamma 90.00
loop_
_atom_site_label
_atom_site_type_symbol
_atom_site_fract_x
_atom_site_fract_y
_atom_site_fract_z
Ge1 Ge 0.000 0.000 0.000
Pd1 Pd 0.500 0.500 0.500
Au1 Au 0.000 0.000 0.500
# Polymorph energy (0 for the lowest one)   479 meV per atom
# D(E_F)   3.729 states/eV/cell
# Uncorrected energy   -3.4196 eV/atom

16.
# Sc6BeRu5 (PBE, optimized geometry)
data_Sc6BeRu5
_symmetry_space_group_name_H-M 'I m m m'
_symmetry_Int_Tables_number 71
_symmetry_space_group_name_Hall '-I 2 2'
_cell_length_a 4.539
_cell_length_b 6.457
_cell_length_c 13.550
_cell_angle_alpha 90.00
_cell_angle_beta 90.00
_cell_angle_gamma 90.00
loop_
_atom_site_label
_atom_site_type_symbol
_atom_site_fract_x
_atom_site_fract_y
_atom_site_fract_z
Sc1 Sc 0.000 0.243 0.000
Sc2 Sc 0.000 0.254 0.331
Be1 Be 0.000 0.000 0.500
Ru1 Ru 0.000 0.000 0.167
Ru2 Ru 0.000 0.500 0.162
Ru3 Ru 0.000 0.500 0.500
# D(E_F)   15.060 states/eV/cell
# Uncorrected energy   -7.8479 eV/atom

17.
# PdPt3 (PBE, optimized geometry)
data_PdPt3
_symmetry_space_group_name_H-M 'F m m m'
_symmetry_Int_Tables_number 69
_symmetry_space_group_name_Hall '-F 2 2'
_cell_length_a 5.601
_cell_length_b 5.619
_cell_length_c 7.897
_cell_angle_alpha 90.00
_cell_angle_beta 90.00
_cell_angle_gamma 90.00
loop_
_atom_site_label
_atom_site_type_symbol
_atom_site_fract_x
_atom_site_fract_y
_atom_site_fract_z
Pd1 Pd 0.000 0.000 0.000
Pt1 Pt 0.000 0.000 0.500
Pt2 Pt 0.250 0.250 0.250
# D(E_F)   31.881 states/eV/cell
# Uncorrected energy   -5.8637 eV/atom

18.
# Er8C3S3N (PBE, optimized geometry)
data_Er8C3S3N
_symmetry_space_group_name_H-M 'R -3 m'
_symmetry_Int_Tables_number 166
_symmetry_space_group_name_Hall '-R 3 2"'
_cell_length_a 7.2671
_cell_length_b 7.2671
_cell_length_c 18.6453
_cell_angle_alpha 90.00
_cell_angle_beta 90.00
_cell_angle_gamma 120.00
loop_
_atom_site_label
_atom_site_type_symbol
_atom_site_fract_x
_atom_site_fract_y
_atom_site_fract_z
Er1 Er 0.0000 0.0000 0.2380
Er2 Er 0.0026 0.5013 0.7628
C1 C 0.0000 0.5000 0.5000
S1 S 0.0000 0.5000 0.0000
N1 N 0.0000 0.0000 0.5000
# D(E_F)   14.511 states/eV/cell
# Uncorrected energy   -6.9374 eV/atom

19.
# Sr2HgIr (PBE, optimized geometry)
data_Sr2HgIr
_symmetry_space_group_name_H-M 'I -4 m 2'
_symmetry_Int_Tables_number 119
_symmetry_space_group_name_Hall 'I -4 -2'
_cell_length_a 4.590
_cell_length_b 4.590
_cell_length_c 9.998
_cell_angle_alpha 90.00
_cell_angle_beta 90.00
_cell_angle_gamma 90.00
loop_
_atom_site_label
_atom_site_type_symbol
_atom_site_fract_x
_atom_site_fract_y
_atom_site_fract_z
Sr1 Sr 0.000 0.000 0.000
Sr2 Sr 0.000 0.500 0.250
Hg1 Hg 0.000 0.500 0.750
Ir1 Ir 0.000 0.000 0.500
# D(E_F)   4.291 states/eV/cell
# Uncorrected energy   -3.1600 eV/atom

20.
# InTcPb2 (PBE, optimized geometry)
data_InTcPb2
_symmetry_space_group_name_H-M 'P 4/m m m'
_symmetry_Int_Tables_number 123
_symmetry_space_group_name_Hall '-P 4 2'
_cell_length_a 3.362
_cell_length_b 3.362
_cell_length_c 8.778
_cell_angle_alpha 90.00
_cell_angle_beta 90.00
_cell_angle_gamma 90.00
loop_
_atom_site_label
_atom_site_type_symbol
_atom_site_fract_x
_atom_site_fract_y
_atom_site_fract_z
In1 In 0.000 0.000 0.000
Tc1 Tc 0.000 0.000 0.500
Pb1 Pb 0.500 0.500 0.306
# D(E_F)   3.992 states/eV/cell
# Uncorrected energy   -4.7325 eV/atom